Below is an optimized crystal structure of Cs3HoPu2Se6, with properties calculated at the PBE-GGA level.

The total energy comes out at -149.948 eV per cell. For the density, the calculation gives 6.3 Mg/m³.

The space group is C2/m (No. 12) and the conventional cell measures 7.471, 12.940 and 8.716 Å, with angles of 90.00, 106.60 and 90.00 degrees. The asymmetric unit holds Cs at (0.000, 0.000, 0.000), Cs at (0.000, 0.333, 0.000), Ho at (0.000, 0.500, 0.500), Pu at (0.000, 0.167, 0.500), Se at (0.226, 0.335, 0.685) and Se at (0.232, 0.000, 0.685).

---

Below is an optimized crystal structure of Al2ReRh, with properties calculated at the PBE-GGA level.

The value obtained for the excess energy over the best structure of this formula in the dataset is 170 meV/atom. The total energy comes out at -86.435 eV per cell. For the density, the calculation gives 9.8 Mg/m³.

The space group is R-3m (No. 166, hexagonal axes) and the conventional cell measures 2.8311, 2.8311 and 25.0460 Å, with angles of 90.00, 90.00 and 120.00 degrees. The asymmetric unit holds Al at (0.0000, 0.0000, 0.2462), Re at (0.0000, 0.0000, 0.0000) and Rh at (0.0000, 0.0000, 0.5000).